This record from Alexandria via LeMat-Bulk describes a geometry-optimized V6P2N structure. The functional is PBE.

Cell: 5.0794 5.0794 7.1755 Å, 90.50 90.50 35.67°
Fractional coordinates of all 9 atoms:
1 V 0.0430 0.0430 0.2215
2 V 0.3542 0.3542 0.0618
3 V 0.3726 0.3726 0.4512
4 V 0.6274 0.6274 0.5488
5 V 0.6458 0.6458 0.9382
6 V 0.9570 0.9570 0.7785
7 P 0.2597 0.2597 0.7463
8 P 0.7403 0.7403 0.2537
9 N 0.0000 0.0000 0.5000

Values from the calculation:
E_tot = -9.03 eV per atom
Calculated volume = 12.0 A^3/atom
SG = C2/m